1.
# PBE SmMnCoP2, optimized geometry
data_SmMnCoP2
_symmetry_space_group_name_H-M 'I -4 m 2'
_symmetry_Int_Tables_number 119
_symmetry_space_group_name_Hall 'I -4 -2'
_cell_length_a 3.8459
_cell_length_b 3.8459
_cell_length_c 9.9650
_cell_angle_alpha 90.00
_cell_angle_beta 90.00
_cell_angle_gamma 90.00
loop_
_atom_site_label
_atom_site_type_symbol
_atom_site_fract_x
_atom_site_fract_y
_atom_site_fract_z
Sm1 Sm 0.0000 0.0000 0.0000
Mn1 Mn 0.0000 0.5000 0.7500
Co1 Co 0.0000 0.5000 0.2500
P1 P 0.0000 0.0000 0.3622
# Mass density (g/cm³): 7.3
# Volume (A^3/atom): 14.7
# Calculated formation energy (eV/atom): -0.980

=====

2.
# PBE AlZnSe, optimized geometry
data_AlZnSe
_symmetry_space_group_name_H-M 'P 3 m 1'
_symmetry_Int_Tables_number 156
_cell_length_a 4.9454
_cell_length_b 4.9454
_cell_length_c 2.7276
_cell_angle_alpha 90.00
_cell_angle_beta 90.00
_cell_angle_gamma 120.00
loop_
_symmetry_equiv_pos_as_xyz
'x,y,z'
'-y,x-y,z'
'-x+y,-x,z'
'-y,-x,z'
'-x+y,y,z'
'x,x-y,z'
loop_
_atom_site_label
_atom_site_type_symbol
_atom_site_fract_x
_atom_site_fract_y
_atom_site_fract_z
Al1 Al 0.0000 0.0000 0.0000
Zn1 Zn 0.6667 0.3333 0.7696
Se1 Se 0.3333 0.6667 0.9439
# Mass density (g/cm³): 4.9
# Polymorph energy (0 for the lowest one) (eV/atom): 0.3600
# Volume (A^3/atom): 19.3
# Formation energy without anion corrections (eV/atom): 0.1067